1.
A plane-wave DFT calculation with PBE was carried out for an optimized crystal structure of PuBiPdPt.

Summary:
Magnetic moment: 5.24 μB per formula unit
DFT formation energy: -0.46 eV/atom

```
PuBiPdPt
1.0
0.000 3.501 3.501
3.501 0.000 3.501
3.501 3.501 0.000
Pu Bi Pd Pt
1 1 1 1
Direct
0.000 0.000 0.000 Pu
0.500 0.500 0.500 Bi
0.250 0.250 0.250 Pd
0.750 0.750 0.750 Pt
```

---

2.
A plane-wave DFT calculation with PBE was carried out for an optimized crystal structure of BiPdPtRh.

Summary:
Magnetic moment: 0.00 μB per formula unit
DFT formation energy: -0.05 eV/atom

```
BiPdPtRh
1.0
0.000 3.267 3.267
3.267 0.000 3.267
3.267 3.267 0.000
Bi Pd Pt Rh
1 1 1 1
Direct
0.000 0.000 0.000 Bi
0.250 0.250 0.250 Pd
0.500 0.500 0.500 Pt
0.750 0.750 0.750 Rh
```

---

3.
A plane-wave DFT calculation with PBE was carried out for an optimized crystal structure of BiSbPdPt.

Summary:
Uncorrected formation energy: -0.185 eV/atom
Magnetic moment: 0.00 μB per formula unit

```
BiSbPdPt
1.0
0.000 3.460 3.460
3.460 0.000 3.460
3.460 3.460 0.000
Bi Sb Pd Pt
1 1 1 1
Direct
0.000 0.000 0.000 Bi
0.500 0.500 0.500 Sb
0.750 0.750 0.750 Pd
0.250 0.250 0.250 Pt
```

---

4.
A plane-wave DFT calculation with PBE was carried out for an optimized crystal structure of Bi2Sb2PdPt7.

Summary:
Uncorrected formation energy: -0.246 eV/atom
Magnetic moment: 0.00 μB per formula unit

```
Bi2Sb2PdPt7
1.0
2.826 -2.826 0.000
2.826 2.826 0.000
-2.809 0.000 16.046
Bi Sb Pd Pt
2 2 1 7
Direct
0.213 0.213 0.427 Bi
0.787 0.787 0.573 Bi
0.384 0.384 0.766 Sb
0.616 0.616 0.234 Sb
0.000 0.000 0.000 Pd
0.062 0.562 0.127 Pt
0.301 0.301 0.603 Pt
0.438 0.938 0.873 Pt
0.500 0.500 0.000 Pt
0.562 0.062 0.127 Pt
0.699 0.699 0.397 Pt
0.938 0.438 0.873 Pt
```

---

5.
A plane-wave DFT calculation with PBE was carried out for an optimized crystal structure of ScBiPdPt.

Summary:
Magnetic moment: 0.00 μB per formula unit
DFT formation energy: -0.68 eV/atom

```
ScBiPdPt
1.0
0.000 3.387 3.387
3.387 0.000 3.387
3.387 3.387 0.000
Sc Bi Pd Pt
1 1 1 1
Direct
0.000 0.000 0.000 Sc
0.500 0.500 0.500 Bi
0.250 0.250 0.250 Pd
0.750 0.750 0.750 Pt
```

---

6.
A plane-wave DFT calculation with PBE was carried out for an optimized crystal structure of Bi2PdPtSe.

Summary:
Uncorrected formation energy: 0.468 eV/atom
Magnetic moment: 0.00 μB per formula unit

```
Bi2PdPtSe
1.0
5.274 0.000 0.000
0.000 5.274 0.000
0.000 0.000 5.139
Bi Pd Pt Se
2 1 1 1
Direct
0.000 0.500 0.000 Bi
0.500 0.000 0.000 Bi
0.000 0.000 0.500 Pd
0.000 0.000 0.000 Pt
0.500 0.500 0.500 Se
```

---

7.
A plane-wave DFT calculation with PBE was carried out for an optimized crystal structure of SmBiPdPt.

Summary:
Magnetic moment: 0.00 μB per formula unit
DFT formation energy: -0.72 eV/atom

```
SmBiPdPt
1.0
0.000 3.517 3.517
3.517 0.000 3.517
3.517 3.517 0.000
Sm Bi Pd Pt
1 1 1 1
Direct
0.000 0.000 0.000 Sm
0.500 0.500 0.500 Bi
0.250 0.250 0.250 Pd
0.750 0.750 0.750 Pt
```

---

8.
A plane-wave DFT calculation with PBE was carried out for an optimized crystal structure of Sr2BiPd5Pt2.

Summary:
Magnetic moment: 0.00 μB per formula unit
DFT formation energy: -0.49 eV/atom

```
Sr2BiPd5Pt2
1.0
10.043 0.000 0.000
0.000 10.043 0.000
0.000 0.000 4.042
Sr Bi Pd Pt
4 2 10 4
Direct
0.172 0.328 0.000 Sr
0.328 0.828 0.000 Sr
0.672 0.172 0.000 Sr
0.828 0.672 0.000 Sr
0.000 0.000 0.000 Bi
0.500 0.500 0.000 Bi
0.000 0.500 0.500 Pd
0.066 0.796 0.500 Pd
0.204 0.066 0.500 Pd
0.296 0.566 0.500 Pd
0.434 0.296 0.500 Pd
0.500 0.000 0.500 Pd
0.566 0.704 0.500 Pd
0.704 0.434 0.500 Pd
0.796 0.934 0.500 Pd
0.934 0.204 0.500 Pd
0.124 0.624 0.000 Pt
0.376 0.124 0.000 Pt
0.624 0.876 0.000 Pt
0.876 0.376 0.000 Pt
```

---

9.
A plane-wave DFT calculation with PBE was carried out for an optimized crystal structure of SrBiPdPt.

Summary:
Magnetic moment: 0.00 μB per formula unit
DFT formation energy: -0.46 eV/atom

```
SrBiPdPt
1.0
0.000 3.573 3.573
3.573 0.000 3.573
3.573 3.573 0.000
Sr Bi Pd Pt
1 1 1 1
Direct
0.000 0.000 0.000 Sr
0.500 0.500 0.500 Bi
0.750 0.750 0.750 Pd
0.250 0.250 0.250 Pt
```

---

10.
A plane-wave DFT calculation with PBE was carried out for an optimized crystal structure of Sr2Bi4PdPt3.

Summary:
Magnetic moment: 0.00 μB per formula unit
DFT formation energy: -0.58 eV/atom

```
Sr2Bi4PdPt3
1.0
4.896 0.000 0.000
0.000 4.896 0.000
0.000 0.000 11.009
Sr Bi Pd Pt
2 4 1 3
Direct
0.000 0.500 0.231 Sr
0.500 0.000 0.769 Sr
0.000 0.000 0.500 Bi
0.000 0.500 0.876 Bi
0.500 0.000 0.124 Bi
0.500 0.500 0.500 Bi
0.500 0.500 0.000 Pd
0.000 0.000 0.000 Pt
0.000 0.500 0.628 Pt
0.500 0.000 0.372 Pt
```

---

11.
A plane-wave DFT calculation with PBE was carried out for an optimized crystal structure of Tl2Bi2Pd7Pt.

Summary:
Magnetic moment: 0.00 μB per formula unit
DFT formation energy: -0.08 eV/atom

```
Tl2Bi2Pd7Pt
1.0
2.795 -2.763 0.000
2.795 2.763 0.000
-1.993 0.000 15.809
Tl Bi Pd Pt
2 2 7 1
Direct
0.091 0.091 0.254 Tl
0.909 0.909 0.746 Tl
0.356 0.356 0.611 Bi
0.644 0.644 0.389 Bi
0.000 0.000 0.000 Pd
0.046 0.546 0.127 Pd
0.175 0.175 0.441 Pd
0.454 0.954 0.873 Pd
0.546 0.046 0.127 Pd
0.825 0.825 0.559 Pd
0.954 0.454 0.873 Pd
0.500 0.500 0.000 Pt
```

---

12.
A plane-wave DFT calculation with PBE was carried out for an optimized crystal structure of Y2Bi2Pd7Pt.

Summary:
Magnetic moment: 0.00 μB per formula unit
DFT formation energy: -0.36 eV/atom

```
Y2Bi2Pd7Pt
1.0
2.742 -2.727 0.000
2.742 2.727 0.000
-2.220 0.000 16.451
Y Bi Pd Pt
2 2 7 1
Direct
0.102 0.102 0.250 Y
0.898 0.898 0.750 Y
0.342 0.342 0.617 Bi
0.658 0.658 0.383 Bi
0.000 0.000 0.000 Pd
0.052 0.552 0.127 Pd
0.196 0.196 0.448 Pd
0.448 0.948 0.873 Pd
0.552 0.052 0.127 Pd
0.804 0.804 0.552 Pd
0.948 0.448 0.873 Pd
0.500 0.500 0.000 Pt
```

---

13.
A plane-wave DFT calculation with PBE was carried out for an optimized crystal structure of YBiPdPt.

Summary:
Magnetic moment: 0.00 μB per formula unit
DFT formation energy: -0.75 eV/atom

```
YBiPdPt
1.0
0.000 3.483 3.483
3.483 0.000 3.483
3.483 3.483 0.000
Y Bi Pd Pt
1 1 1 1
Direct
0.000 0.000 0.000 Y
0.500 0.500 0.500 Bi
0.250 0.250 0.250 Pd
0.750 0.750 0.750 Pt
```

---

14.
A plane-wave DFT calculation with PBE was carried out for an optimized crystal structure of Pu2Bi2Pd3.

Summary:
Magnetic moment: 11.04 μB per formula unit
DFT formation energy: -0.36 eV/atom

```
Pu2Bi2Pd3
1.0
-4.419 4.419 4.419
4.419 -4.419 4.419
4.419 4.419 -4.419
Pu Bi Pd
4 4 6
Direct
0.000 0.488 0.500 Pu
0.012 0.012 0.012 Pu
0.488 0.500 0.000 Pu
0.500 0.000 0.488 Pu
0.000 0.901 0.500 Bi
0.500 0.000 0.901 Bi
0.599 0.599 0.599 Bi
0.901 0.500 0.000 Bi
0.017 0.267 0.750 Pd
0.233 0.250 0.483 Pd
0.250 0.483 0.233 Pd
0.267 0.750 0.017 Pd
0.483 0.233 0.250 Pd
0.750 0.017 0.267 Pd
```

---

15.
A plane-wave DFT calculation with PBE was carried out for an optimized crystal structure of PuBiPd4.

Summary:
Magnetic moment: 5.30 μB per formula unit
DFT formation energy: -0.38 eV/atom

```
PuBiPd4
1.0
0.000 3.860 3.860
3.860 0.000 3.860
3.860 3.860 0.000
Pu Bi Pd
1 1 4
Direct
0.000 0.000 0.000 Pu
0.750 0.750 0.750 Bi
0.375 0.375 0.375 Pd
0.375 0.375 0.876 Pd
0.375 0.876 0.375 Pd
0.876 0.375 0.375 Pd
```

---

16.
A plane-wave DFT calculation with PBE was carried out for an optimized crystal structure of Pu2BiPd4.

Summary:
Magnetic moment: 10.37 μB per formula unit
DFT formation energy: -0.44 eV/atom

```
Pu2BiPd4
1.0
-2.034 2.034 9.171
2.034 -2.034 9.171
2.034 2.034 -9.171
Pu Bi Pd
2 1 4
Direct
0.115 0.115 0.000 Pu
0.885 0.885 0.000 Pu
0.500 0.500 0.000 Bi
0.250 0.750 0.500 Pd
0.350 0.350 0.000 Pd
0.650 0.650 0.000 Pd
0.750 0.250 0.500 Pd
```

---

17.
A plane-wave DFT calculation with PBE was carried out for an optimized crystal structure of Pu2BiPd.

Summary:
Magnetic moment: 11.79 μB per formula unit
DFT formation energy: -0.37 eV/atom
ΔE to the lowest computed polymorph: 0.004 eV per atom

```
Pu2BiPd
1.0
4.189 -3.848 0.000
4.189 3.848 0.000
0.000 0.000 6.066
Pu Bi Pd
4 2 2
Direct
0.206 0.206 0.000 Pu
0.206 0.206 0.500 Pu
0.794 0.794 0.000 Pu
0.794 0.794 0.500 Pu
0.305 0.695 0.750 Bi
0.695 0.305 0.250 Bi
0.290 0.710 0.250 Pd
0.710 0.290 0.750 Pd
```

---

18.
A plane-wave DFT calculation with PBE was carried out for an optimized crystal structure of Pu2BiPd.

Summary:
Magnetic moment: 11.35 μB per formula unit
DFT formation energy: -0.28 eV/atom
ΔE to the lowest computed polymorph: 0.089 eV per atom

```
Pu2BiPd
1.0
0.000 3.724 3.724
3.724 0.000 3.724
3.724 3.724 0.000
Pu Bi Pd
2 1 1
Direct
0.250 0.250 0.250 Pu
0.750 0.750 0.750 Pu
0.000 0.000 0.000 Bi
0.500 0.500 0.500 Pd
```

---

19.
A plane-wave DFT calculation with PBE was carried out for an optimized crystal structure of Pu2BiPd.

Summary:
Magnetic moment: 11.67 μB per formula unit
DFT formation energy: -0.37 eV/atom
ΔE to the lowest computed polymorph: 0.000 eV per atom

```
Pu2BiPd
1.0
4.527 0.000 0.000
0.000 4.527 0.000
0.000 0.000 4.676
Pu Bi Pd
2 1 1
Direct
0.000 0.500 0.000 Pu
0.500 0.000 0.000 Pu
0.000 0.000 0.500 Bi
0.500 0.500 0.500 Pd
```

---

20.
A plane-wave DFT calculation with PBE was carried out for an optimized crystal structure of PuBi2Pd8.

Summary:
Magnetic moment: 5.09 μB per formula unit
DFT formation energy: -0.27 eV/atom

```
PuBi2Pd8
1.0
7.689 -2.058 0.000
7.689 2.058 0.000
-1.378 0.000 6.374
Pu Bi Pd
1 2 8
Direct
0.000 0.000 0.000 Pu
0.342 0.342 0.781 Bi
0.658 0.658 0.219 Bi
0.089 0.089 0.461 Pd
0.173 0.173 0.910 Pd
0.282 0.282 0.353 Pd
0.459 0.459 0.279 Pd
0.541 0.541 0.721 Pd
0.718 0.718 0.647 Pd
0.827 0.827 0.090 Pd
0.911 0.911 0.539 Pd
```